[1]
This record from the Alexandria database describes a relaxed structure of YAlGe2Au. The functional is PBE-GGA.

Output
Its density of states at the Fermi level is 0.8148 states/eV/atom. The space group is P4/mmm (123). The calculation puts the energy of formation from the pure elements at 755 meV per atom.

Cell lengths 5.4640, 5.4640, 5.4199 Å; angles 90.00, 90.00, 90.00 degrees
Fractional coordinates of all 5 atoms:
Y 0.0000 0.0000 0.0000
Al 0.5000 0.5000 0.5000
Ge 0.0000 0.5000 0.0000
Ge 0.5000 0.0000 0.0000
Au 0.0000 0.0000 0.5000


[2]
This record from the Alexandria database describes a relaxed structure of K2MnGeCl6. The functional is PBE-GGA.

Output
Its density of states at the Fermi level is 0.0000 states/eV/atom. The total energy is -4.064 eV/atom. The space group is P-1 (2).

Cell lengths 7.1765, 7.1871, 7.2453 Å; angles 119.49, 119.38, 90.22 degrees
Fractional coordinates of all 10 atoms:
K 0.2389 0.2602 0.9996
K 0.7611 0.7398 0.0004
Mn 0.0000 0.5000 0.5000
Ge 0.5000 0.0000 0.5000
Cl 0.1846 0.1994 0.4946
Cl 0.2215 0.7178 0.9881
Cl 0.3174 0.7079 0.5411
Cl 0.6826 0.2921 0.4589
Cl 0.7785 0.2822 0.0119
Cl 0.8154 0.8006 0.5054


[3]
This record from the Alexandria database describes a relaxed structure of LiTmIn4Se8. The functional is PBE-GGA.

Output
Its density of states at the Fermi level is 0.3990 states/eV/atom. The total energy is -4.058 eV/atom. The space group is R3m (160).

Cell lengths 8.1417, 8.1417, 8.1417 Å; angles 59.94, 59.94, 59.94 degrees
Fractional coordinates of all 14 atoms:
Li 0.0000 0.0000 0.0000
Tm 0.3658 0.3658 0.3658
In 0.3690 0.3690 0.8971
In 0.3690 0.8971 0.3690
In 0.7519 0.7519 0.7519
In 0.8970 0.3690 0.3690
Se 0.1251 0.1251 0.6162
Se 0.1251 0.6162 0.1251
Se 0.1317 0.1317 0.1317
Se 0.1532 0.6158 0.6158
Se 0.6154 0.6154 0.6154
Se 0.6161 0.1251 0.1251
Se 0.6158 0.1532 0.6158
Se 0.6158 0.6158 0.1532


[4]
This record from the Alexandria database describes a relaxed structure of Fe2AsPt. The functional is PBE-GGA.

Output
Its density of states at the Fermi level is 1.0692 states/eV/atom. The space group is R-3m (166). The calculation puts the energy of formation from the pure elements at 66 meV per atom.

Cell lengths 2.7919, 2.7919, 24.3335 Å; angles 90.00, 90.00, 120.00 degrees
Fractional coordinates of all 12 atoms:
Fe 0.0000 0.0000 0.2453
Fe 0.0000 0.0000 0.7547
Fe 0.3333 0.6667 0.4213
Fe 0.3333 0.6667 0.9120
Fe 0.6667 0.3333 0.0880
Fe 0.6667 0.3333 0.5787
As 0.0000 0.0000 0.5000
As 0.3333 0.6667 0.1667
As 0.6667 0.3333 0.8333
Pt 0.0000 0.0000 0.0000
Pt 0.3333 0.6667 0.6667
Pt 0.6667 0.3333 0.3333


[5]
This record from the Alexandria database describes a relaxed structure of Na2CdPt. The functional is PBE-GGA.

Output
Its density of states at the Fermi level is 0.3172 states/eV/atom. The space group is Fm-3m (225). The calculation puts the energy of formation from the pure elements at -47 meV per atom. For the energy above the most stable polymorph in this dataset, the calculation gives 107 meV per atom.

Cell lengths 6.9477, 6.9477, 6.9477 Å; angles 90.00, 90.00, 90.00 degrees
Fractional coordinates of all 16 atoms:
Na 0.2500 0.2500 0.2500
Na 0.2500 0.2500 0.7500
Na 0.2500 0.7500 0.2500
Na 0.2500 0.7500 0.7500
Na 0.7500 0.2500 0.2500
Na 0.7500 0.2500 0.7500
Na 0.7500 0.7500 0.2500
Na 0.7500 0.7500 0.7500
Cd 0.0000 0.0000 0.0000
Cd 0.0000 0.5000 0.5000
Cd 0.5000 0.0000 0.5000
Cd 0.5000 0.5000 0.0000
Pt 0.0000 0.0000 0.5000
Pt 0.0000 0.5000 0.0000
Pt 0.5000 0.0000 0.0000
Pt 0.5000 0.5000 0.5000


[6]
This record from the Alexandria database describes a relaxed structure of NaThCdHg. The functional is PBE-GGA.

Output
Its density of states at the Fermi level is 0.7711 states/eV/atom. The space group is F-43m (216). The calculation puts the energy of formation from the pure elements at -85 meV per atom.

Cell lengths 7.4965, 7.4965, 7.4965 Å; angles 90.00, 90.00, 90.00 degrees
Fractional coordinates of all 16 atoms:
Na 0.0000 0.0000 0.0000
Na 0.0000 0.5000 0.5000
Na 0.5000 0.0000 0.5000
Na 0.5000 0.5000 0.0000
Th 0.0000 0.0000 0.5000
Th 0.0000 0.5000 0.0000
Th 0.5000 0.0000 0.0000
Th 0.5000 0.5000 0.5000
Cd 0.2500 0.2500 0.2500
Cd 0.2500 0.7500 0.7500
Cd 0.7500 0.2500 0.7500
Cd 0.7500 0.7500 0.2500
Hg 0.2500 0.2500 0.7500
Hg 0.2500 0.7500 0.2500
Hg 0.7500 0.2500 0.2500
Hg 0.7500 0.7500 0.7500


[7]
This record from the Alexandria database describes a relaxed structure of Tl2SbI. The functional is PBE-GGA.

Output
Its density of states at the Fermi level is 0.9448 states/eV/atom. The space group is I-42d (122). For the energy above the most stable polymorph in this dataset, the calculation gives 98 meV per atom.

Cell lengths 7.1714, 7.1714, 15.6107 Å; angles 90.00, 90.00, 90.00 degrees
Fractional coordinates of all 16 atoms:
Tl 0.2118 0.2500 0.1250
Tl 0.2500 0.7118 0.3750
Tl 0.2500 0.7882 0.8750
Tl 0.2882 0.2500 0.6250
Tl 0.7118 0.7500 0.6250
Tl 0.7500 0.2118 0.8750
Tl 0.7500 0.2882 0.3750
Tl 0.7882 0.7500 0.1250
Sb 0.0000 0.0000 0.0000
Sb 0.0000 0.5000 0.2500
Sb 0.5000 0.0000 0.7500
Sb 0.5000 0.5000 0.5000
I 0.0000 0.0000 0.5000
I 0.0000 0.5000 0.7500
I 0.5000 0.0000 0.2500
I 0.5000 0.5000 0.0000


[8]
This record from the Alexandria database describes a relaxed structure of MnBe2Cr. The functional is PBE-GGA.

Output
Its density of states at the Fermi level is 0.5665 states/eV/atom. The space group is Pm (6). The calculation puts the energy of formation from the pure elements at -69 meV per atom. For the energy above the most stable polymorph in this dataset, the calculation gives 6 meV per atom.

Cell lengths 2.3952, 3.7689, 4.3030 Å; angles 90.00, 97.06, 90.00 degrees
Fractional coordinates of all 4 atoms:
Mn 0.0000 0.0000 0.0000
Be 0.5713 0.0000 0.4907
Be 0.6066 0.5000 0.2371
Cr 0.1747 0.5000 0.7322